# 1
KErP4O12 after structural relaxation. Source: OQMD, functional PBE.

**Total magnetization**: 0.0 μB per formula unit
**Uncorrected energy**: -130.739 eV per formula unit

Cell and atoms, written as CIF:
```
data_KErP4O12
_chemical_formula_sum 'K2 Er2 P8 O24'
_cell_length_a 7.1535
_cell_length_b 8.1792
_cell_length_c 7.8140
_cell_angle_alpha 90.00
_cell_angle_beta 91.95
_cell_angle_gamma 90.00
_symmetry_space_group_name_H-M 'P 1 21 1'
_symmetry_Int_Tables_number 4
loop_
_symmetry_equiv_pos_as_xyz
'x,y,z'
'-x,y+1/2,-z'
loop_
_atom_site_label
_atom_site_type_symbol
_atom_site_fract_x
_atom_site_fract_y
_atom_site_fract_z
_atom_site_occupancy
K1 K 0.2268 0.0000 0.2792 1
Er1 Er 0.2637 0.3011 0.7562 1
P1 P 0.0611 0.9259 0.9062 1
P2 P 0.1189 0.5579 0.4021 1
P3 P 0.4014 0.7153 0.9030 1
P4 P 0.4977 0.9522 0.6169 1
O1 O 0.0258 0.7146 0.3521 1
O2 O 0.0449 0.4118 0.2782 1
O3 O 0.0761 0.3989 0.9564 1
O4 O 0.1135 0.5012 0.5834 1
O5 O 0.1821 0.0737 0.9292 1
O6 O 0.1849 0.7636 0.8873 1
O7 O 0.3225 0.0524 0.6125 1
O8 O 0.3308 0.5736 0.3455 1
O9 O 0.4166 0.5493 0.8262 1
O10 O 0.4677 0.3495 0.5373 1
O11 O 0.4741 0.7459 0.0817 1
O12 O 0.4868 0.3420 0.2142 1
```

***

# 2
Lu2Nb4Bi3N3 after structural relaxation. Source: OQMD, functional PBE.

**Total magnetization**: 0.0 μB per formula unit
**Uncorrected energy**: -94.124 eV per formula unit

Cell and atoms, written as CIF:
```
data_Lu2Nb4Bi3N3
_chemical_formula_sum 'Lu8 Nb16 Bi12 N12'
_cell_length_a 10.3475
_cell_length_b 6.0478
_cell_length_c 14.0542
_cell_angle_alpha 90.00
_cell_angle_beta 104.10
_cell_angle_gamma 90.00
_symmetry_space_group_name_H-M 'C 1 2/c 1'
_symmetry_Int_Tables_number 15
loop_
_symmetry_equiv_pos_as_xyz
'x,y,z'
'-x,-y,-z'
'-x,y,-z+1/2'
'x,-y,z+1/2'
'x+1/2,y+1/2,z'
'-x+1/2,-y+1/2,-z'
'-x+1/2,y+1/2,-z+1/2'
'x+1/2,-y+1/2,z+1/2'
loop_
_atom_site_label
_atom_site_type_symbol
_atom_site_fract_x
_atom_site_fract_y
_atom_site_fract_z
_atom_site_occupancy
Lu1 Lu 0.0568 0.0852 0.4111 1
Nb1 Nb 0.1088 0.4323 0.5715 1
Nb2 Nb 0.2183 0.4091 0.9281 1
Bi1 Bi 0.0000 0.4368 0.2500 1
Bi2 Bi 0.1784 0.0996 0.7492 1
N1 N 0.0780 0.2355 0.9999 1
N2 N 0.2500 0.2500 0.5000 1
```

***

# 3
KCoAgTeS2 after structural relaxation. Source: OQMD, functional PBE.

**Total magnetization**: 0.0 μB per formula unit
**Uncorrected energy**: -24.116 eV per formula unit

Cell and atoms, written as CIF:
```
data_KCoAgTeS2
_chemical_formula_sum 'K4 Co4 Ag4 Te4 S8'
_cell_length_a 3.4445
_cell_length_b 16.2862
_cell_length_c 10.1376
_cell_angle_alpha 90.00
_cell_angle_beta 90.00
_cell_angle_gamma 90.00
_symmetry_space_group_name_H-M 'C m c m'
_symmetry_Int_Tables_number 63
_symmetry_space_group_name_Hall '-C 2c 2'
loop_
_atom_site_label
_atom_site_type_symbol
_atom_site_fract_x
_atom_site_fract_y
_atom_site_fract_z
_atom_site_occupancy
K1 K 0.0000 0.2424 0.2500 1
Co1 Co 0.0000 0.5000 0.0000 1
Ag1 Ag 0.0000 0.0864 0.7500 1
Te1 Te 0.0000 0.4404 0.7500 1
S1 S 0.0000 0.0936 0.5145 1
```

***

Question: Which formula does entry 3 have?
Answer: KCoAgTeS2

***

Question: Look up the total magnetization of the first one.
Answer: 0.0 μB per formula unit

***

Question: What is the uncorrected energy in the second record?
Answer: -94.124 eV per formula unit